[1]
Here is an optimized crystal structure of Pm3HgS2 from Alexandria. Energies are from PBE.

Unit cell a=4.741 b=6.949 c=10.289 alpha=90.00 beta=90.00 gamma=109.95
Fractional coordinates of all 12 atoms:
Pm: 0.633 0.267 0.055
Pm: 0.103 0.207 0.750
Pm: 0.633 0.267 0.445
Pm: 0.897 0.793 0.250
Pm: 0.367 0.733 0.945
Pm: 0.367 0.733 0.555
Hg: 0.229 0.458 0.250
Hg: 0.771 0.542 0.750
S: 0.000 0.000 0.000
S: 0.000 0.000 0.500
S: 0.488 0.976 0.250
S: 0.512 0.024 0.750

Calculated values
**Formation energy from raw total energies**: -1.25 eV per atom
**Magnetization**: 0.00 μB/f.u.

---

[2]
Here is an optimized crystal structure of Pm6AgBr8 from Alexandria. Energies are from PBE.

Unit cell a=7.211 b=7.211 c=11.705 alpha=72.06 beta=72.06 gamma=60.00
Fractional coordinates of all 15 atoms:
Pm: 0.947 0.622 0.160
Pm: 0.728 0.053 0.840
Pm: 0.378 0.728 0.840
Pm: 0.622 0.272 0.160
Pm: 0.272 0.947 0.160
Pm: 0.053 0.378 0.840
Ag: 0.000 0.000 0.000
Br: 0.774 0.443 0.675
Br: 0.892 0.226 0.325
Br: 0.557 0.892 0.325
Br: 0.333 0.333 0.000
Br: 0.667 0.667 0.000
Br: 0.443 0.108 0.675
Br: 0.108 0.774 0.675
Br: 0.226 0.557 0.325

Calculated values
**Formation energy from raw total energies**: -1.32 eV per atom
**Magnetization**: 0.00 μB/f.u.

---

[3]
Here is an optimized crystal structure of RbSiSb from Alexandria. Energies are from PBE.

Unit cell a=4.691 b=6.219 c=9.546 alpha=64.32 beta=103.99 gamma=90.17
Fractional coordinates of all 6 atoms:
Rb: 0.938 0.456 0.647
Rb: 0.151 0.643 0.074
Sb: 0.732 0.011 0.227
Sb: 0.468 0.882 0.705
Si: 0.081 0.141 0.428
Si: 0.581 0.145 0.426

Calculated values
**Formation energy from raw total energies**: -0.02 eV per atom
**Magnetization**: 0.00 μB/f.u.

---

[4]
Here is an optimized crystal structure of SrIr3C from Alexandria. Energies are from PBE.

Unit cell a=4.263 b=4.263 c=4.263 alpha=90.00 beta=90.00 gamma=90.00
Fractional coordinates of all 5 atoms:
Sr: 0.500 0.500 0.500
C: 0.000 0.000 0.000
Ir: 0.000 0.500 0.000
Ir: 0.000 0.000 0.500
Ir: 0.500 0.000 0.000

Calculated values
**Formation energy from the elements**: 0.24 eV per atom
**Energy above the lowest structure with this stoichiometry**: 0.000 kcal/mol of atoms
**Magnetization**: 0.00 μB/f.u.

---

[5]
Here is an optimized crystal structure of NaTiTe2S6 from Alexandria. Energies are from PBE.

Unit cell a=6.765 b=6.534 c=7.663 alpha=88.41 beta=117.78 gamma=120.64
Fractional coordinates of all 10 atoms:
Na: 0.013 0.512 0.499
Ti: 0.964 0.969 0.946
Te: 0.521 0.770 0.320
Te: 0.603 0.307 0.891
S: 0.553 0.948 0.712
S: 0.437 0.070 0.166
S: 0.846 0.750 0.160
S: 0.111 0.360 0.179
S: 0.783 0.602 0.709
S: 0.135 0.188 0.719

Calculated values
**Formation energy from raw total energies**: -0.45 eV per atom
**Magnetization**: 0.00 μB/f.u.

---

[6]
Here is an optimized crystal structure of Dy2SiGe3Pt4 from Alexandria. Energies are from PBE.

Unit cell a=4.300 b=4.300 c=9.981 alpha=90.00 beta=90.00 gamma=90.00
Fractional coordinates of all 10 atoms:
Dy: 0.500 0.000 0.252
Dy: 0.000 0.500 0.748
Si: 0.500 0.500 0.500
Ge: 0.000 0.000 0.500
Ge: 0.500 0.000 0.865
Ge: 0.000 0.500 0.135
Pt: 0.500 0.500 0.000
Pt: 0.000 0.000 0.000
Pt: 0.500 0.000 0.620
Pt: 0.000 0.500 0.380

Calculated values
**Formation energy from raw total energies**: -0.91 eV per atom
**Magnetization**: 0.00 μB/f.u.

---

[7]
Here is an optimized crystal structure of DySc3P4 from Alexandria. Energies are from PBE.

Unit cell a=3.827 b=6.618 c=6.618 alpha=70.50 beta=90.00 gamma=90.00
Fractional coordinates of all 8 atoms:
Sc: 0.500 0.000 0.500
Sc: 0.000 0.000 0.000
Sc: 0.000 0.500 0.500
P: 0.000 0.761 0.739
P: 0.500 0.755 0.255
P: 0.000 0.240 0.261
P: 0.500 0.245 0.745
Dy: 0.500 0.500 0.000

Calculated values
**Formation energy from the elements**: -1.50 eV per atom
**Magnetization**: 0.00 μB/f.u.

---

[8]
Here is an optimized crystal structure of TlRuW from Alexandria. Energies are from PBE.

Unit cell a=6.349 b=6.349 c=6.349 alpha=152.78 beta=152.78 gamma=38.88
Fractional coordinates of all 3 atoms:
Ru: 0.019 0.019 0.000
Tl: 0.336 0.336 0.000
W: 0.645 0.645 0.000

Calculated values
**Formation energy from the elements**: 0.47 eV per atom
**Energy above the lowest structure with this stoichiometry**: 0.000 kcal/mol of atoms
**Magnetization**: 0.00 μB/f.u.